NbCoAsO | OQMD via LeMat-Bulk | PBE+U | relaxed; E_tot = -6.9817 eV/atom; mass density = 7020 kg/m³
1.0
4.3031 0.0000 0.0000
0.0000 4.0226 0.0000
0.0000 0.0000 6.6346
As O Co Nb
2 2 2 2
direct
0.0000 0.0000 0.0006
0.0000 0.0000 0.5006
0.5000 0.5001 0.2533
0.5000 0.4999 0.7533
0.0000 0.5000 0.2481
0.0000 0.5000 0.7481
0.5000 0.0002 0.2520
0.5000 0.9998 0.7520